Entry 1:
A relaxed structure of TmMgZn3, computed with PBE-GGA.

Properties
The formation energy comes out at -0.261 eV/atom. The value obtained for the total energy is -2.238 eV per atom. The calculation puts the density of states at the Fermi level at 10.702 states/eV/cell.

```
data_TmMgZn3
_chemical_formula_sum 'Tm4 Mg4 Zn12'
_symmetry_space_group_name_H-M 'C m c m'
_symmetry_Int_Tables_number 63
_symmetry_space_group_name_Hall '-C 2c 2'
_cell_length_a 3.391
_cell_length_b 25.590
_cell_length_c 4.433
_cell_angle_alpha 90.00
_cell_angle_beta 90.00
_cell_angle_gamma 90.00
loop_
_atom_site_label
_atom_site_type_symbol
_atom_site_fract_x
_atom_site_fract_y
_atom_site_fract_z
Tm1 Tm 0.000 0.075 0.250
Mg1 Mg 0.000 0.214 0.750
Zn1 Zn 0.000 0.325 0.750
Zn2 Zn 0.000 0.376 0.250
Zn3 Zn 0.000 0.476 0.250
```

Entry 2:
A relaxed structure of Th2Be3AlNi12, computed with PBE-GGA.

Properties
The formation energy comes out at 0.055 eV/atom. The value obtained for the total energy is -5.452 eV per atom. The calculation puts the density of states at the Fermi level at 26.404 states/eV/cell.

```
data_Th2Be3AlNi12
_chemical_formula_sum 'Th6 Be9 Al3 Ni36'
_symmetry_space_group_name_H-M 'R -3 m'
_symmetry_Int_Tables_number 166
_symmetry_space_group_name_Hall '-R 3 2"'
_cell_length_a 7.2853
_cell_length_b 7.2853
_cell_length_c 16.9701
_cell_angle_alpha 90.00
_cell_angle_beta 90.00
_cell_angle_gamma 120.00
loop_
_atom_site_label
_atom_site_type_symbol
_atom_site_fract_x
_atom_site_fract_y
_atom_site_fract_z
Th1 Th 0.0000 0.0000 0.1099
Be1 Be 0.0000 0.5000 0.0000
Al1 Al 0.0000 0.0000 0.5000
Ni1 Ni 0.0149 0.5074 0.8764
Ni2 Ni 0.0343 0.5171 0.3665
```

Total magnetic moment (μB/cell)
0.00 0.00